(1)
A plane-wave DFT calculation with GGA-PBE was carried out for a geometry-optimized Sc3Ga16Fe20 structure.

## Properties
- energy relative to the elements (meV per atom) = -266

Unit cell a=11.928 b=4.992 c=18.858 alpha=90.00 beta=107.54 gamma=90.00
Space group Cm (No. 8)
One atom of each set of equivalent atoms:
1 Sc 0.000 0.000 0.000 x2
2 Sc 0.165 0.500 0.326 x2
3 Sc 0.334 0.000 0.654 x2
4 Ga 0.061 0.500 0.775 x2
5 Ga 0.062 0.500 0.442 x2
6 Ga 0.110 0.000 0.549 x2
7 Ga 0.110 0.000 0.889 x2
8 Ga 0.122 0.500 0.054 x2
9 Ga 0.229 0.000 0.768 x2
10 Ga 0.233 0.000 0.109 x2
11 Ga 0.276 0.500 0.881 x2
12 Ga 0.282 0.000 0.385 x2
13 Ga 0.287 0.500 0.220 x2
14 Ga 0.386 0.000 0.936 x2
15 Ga 0.395 0.500 0.111 x2
16 Ga 0.397 0.500 0.442 x2
17 Ga 0.445 0.000 0.216 x2
18 Ga 0.447 0.500 0.718 x2
19 Ga 0.453 0.000 0.550 x2
20 Fe 0.020 0.000 0.254 x2
21 Fe 0.085 0.251 0.662 x4
22 Fe 0.085 0.500 0.914 x2
23 Fe 0.087 0.000 0.407 x2
24 Fe 0.090 0.250 0.163 x4
25 Fe 0.186 0.500 0.586 x2
26 Fe 0.247 0.000 0.248 x2
27 Fe 0.252 0.500 0.741 x2
28 Fe 0.255 0.248 0.495 x4
29 Fe 0.255 0.252 0.996 x4
30 Fe 0.412 0.500 0.580 x2
31 Fe 0.419 0.251 0.828 x4
32 Fe 0.422 0.248 0.330 x4
33 Fe 0.424 0.000 0.076 x2


(2)
A plane-wave DFT calculation with GGA-PBE was carried out for a geometry-optimized DyH8Ir2Pd structure.

Unit cell a=4.7585 b=4.7585 c=16.1405 alpha=90.00 beta=90.00 gamma=120.00
Space group R-3 (No. 148, hexagonal axes)
One atom of each set of equivalent atoms:
1 Dy 0.0000 0.0000 0.0000 x3
2 H 0.0000 0.0000 0.3205 x6
3 H 0.0097 0.6986 0.1090 x18
4 Ir 0.0000 0.0000 0.2198 x6
5 Pd 0.0000 0.0000 0.5000 x3


no.,uncorrected energy (Ry/atom),M_tot (μB/f.u.)
1,-0.4656,37.4
2,-0.3428,0.0